Below is a geometry-optimized Pm2TcBi structure, with properties calculated at the PBE level.

Computed properties:
M_tot ... 0.00 μB/atom
Polymorph energy (0 for the lowest one) ... 104 meV per atom
Volume ... 25.745 A^3/atom
ΔE_f ... -0.102 eV per atom
DFT total energy ... -6.039 eV per atom

```
data_Pm2TcBi
_chemical_formula_sum 'Pm2 Tc1 Bi1'
_symmetry_space_group_name_H-M 'P 4/m m m'
_symmetry_Int_Tables_number 123
_symmetry_space_group_name_Hall '-P 4 2'
_cell_length_a 5.050
_cell_length_b 5.050
_cell_length_c 4.038
_cell_angle_alpha 90.00
_cell_angle_beta 90.00
_cell_angle_gamma 90.00
loop_
_atom_site_label
_atom_site_fract_x
_atom_site_fract_y
_atom_site_fract_z
Pm1 0.000 0.500 0.000
Tc1 0.000 0.000 0.500
Bi1 0.500 0.500 0.500
```